Computed, not measured: Co2SiRu2 at its PBEsol-relaxed geometry at the SCAN level of DFT.

Cell lengths 3.363, 3.363, 6.310 Å; angles 105.46, 105.46, 90.00 degrees
Positions (direct):
1 Ru 0.250 0.750 0.500
2 Co 0.594 0.594 0.187
3 Si 0.000 0.000 0.000
4 Ru 0.750 0.250 0.500
5 Co 0.406 0.406 0.813

Results
* energy: -22.14 eV per atom
* ΔE_f (raw): 0.710 eV per atom

=====

Computed, not measured: TbCoSi at its PBEsol-relaxed geometry at the SCAN level of DFT.

Cell lengths 4.174, 6.599, 6.944 Å; angles 90.00, 90.00, 90.00 degrees
Positions (direct):
1 Tb 0.250 0.179 0.023
2 Si 0.750 0.112 0.309
3 Si 0.750 0.388 0.809
4 Co 0.250 0.932 0.361
5 Co 0.250 0.568 0.861
6 Tb 0.750 0.821 0.977
7 Tb 0.250 0.321 0.523
8 Si 0.250 0.888 0.691
9 Si 0.250 0.612 0.191
10 Tb 0.750 0.679 0.477
11 Co 0.750 0.432 0.139
12 Co 0.750 0.068 0.639

Results
* energy: -25.36 eV per atom
* ΔE_f (raw): -0.661 eV per atom

=====

Computed, not measured: CaMg2HgOs at its PBEsol-relaxed geometry at the SCAN level of DFT.

Cell lengths 4.577, 5.490, 5.490 Å; angles 90.00, 90.00, 90.00 degrees
Positions (direct):
1 Mg 0.000 0.000 0.500
2 Ca 0.000 0.000 0.000
3 Hg 0.500 0.500 0.500
4 Mg 0.000 0.500 0.000
5 Os 0.500 0.000 0.000

Results
* energy: -30.26 eV per atom
* ΔH_f (0 K): 38.5 kcal/mol of atoms

=====

Computed, not measured: BaCu2Sb2 at its PBEsol-relaxed geometry at the SCAN level of DFT.

Cell lengths 4.637, 4.637, 10.600 Å; angles 90.00, 90.00, 90.00 degrees
Positions (direct):
1 Sb 0.000 0.000 0.500
2 Sb 0.000 0.500 0.875
3 Sb 0.500 0.500 0.500
4 Cu 0.000 0.000 0.000
5 Cu 0.000 0.500 0.628
6 Ba 0.500 0.000 0.761
7 Cu 0.500 0.000 0.372
8 Ba 0.000 0.500 0.239
9 Cu 0.500 0.500 0.000
10 Sb 0.500 0.000 0.125

Results
* energy: -29.42 eV per atom
* ΔE_f (raw): -0.524 eV per atom

=====

Question: What is the formula in the third record?
Answer: CaMg2HgOs

=====

Question: The highest energy belongs to which entry?
Answer: Co2SiRu2